## Mg6Tl2Pb (PBE-GGA)

Data for a geometry-optimized Mg6Tl2Pb structure.

abc: 4.6257 5.5774 9.7258
angles: 104.34 90.00 114.50
Last column: nearest neighbours and their distance in Å.
Atoms (fractional coordinates):
Mg 0.6589 0.3179 0.3889  3 Pb 3.17-3.33, 4 Tl 3.22-3.41, 5 Mg 3.27-3.36
Mg 0.0104 0.0209 0.8378  3 Tl 3.14-3.24, 8 Mg 3.20-3.33, 1 Pb 3.26
Mg 0.9896 0.9791 0.1622  3 Tl 3.14-3.24, 8 Mg 3.20-3.33, 1 Pb 3.26
Mg 0.3411 0.6821 0.6111  3 Pb 3.17-3.33, 4 Tl 3.22-3.41, 5 Mg 3.27-3.36
Mg 0.3414 0.6828 0.9478  9 Mg 3.10-3.29, 3 Tl 3.14-3.18
Mg 0.6586 0.3172 0.0522  9 Mg 3.10-3.29, 3 Tl 3.14-3.18
Pb 0.0000 0.0000 0.5000  8 Mg 3.17-3.33, 4 Tl 3.47
Tl 0.6891 0.3782 0.7397  10 Mg 3.14-3.41, 2 Pb 3.47
Tl 0.3109 0.6218 0.2603  10 Mg 3.14-3.41, 2 Pb 3.47

Output
Relative energy among the computed polymorphs, kJ per mole of atoms: 0.0
Space-group type: C2/m


## Mg4Tl3Pb2 (PBE-GGA)

Data for a geometry-optimized Mg4Tl3Pb2 structure.

abc: 7.0700 7.5662 9.0641
angles: 90.00 90.00 97.64
Last column: nearest neighbours and their distance in Å.
Atoms (fractional coordinates):
Mg 0.1755 0.1648 0.9858  3 Tl 3.14-3.19, 3 Pb 3.17-3.34, 3 Mg 3.29-3.47
Mg 0.8814 0.4218 0.1611  5 Tl 3.08-3.30, 2 Pb 3.19-3.20, 1 Mg 3.42
Mg 0.3245 0.8352 0.4858  3 Tl 3.14-3.19, 3 Pb 3.17-3.34, 3 Mg 3.29-3.47
Mg 0.6186 0.5782 0.6611  5 Tl 3.08-3.30, 2 Pb 3.19-3.20, 1 Mg 3.42
Mg 0.1186 0.5782 0.8389  5 Tl 3.08-3.30, 2 Pb 3.19-3.20, 1 Mg 3.42
Mg 0.6755 0.1648 0.5142  3 Tl 3.14-3.19, 3 Pb 3.17-3.34, 3 Mg 3.29-3.47
Mg 0.8245 0.8352 0.0142  3 Tl 3.14-3.19, 3 Pb 3.17-3.34, 3 Mg 3.29-3.47
Mg 0.3814 0.4218 0.3389  5 Tl 3.08-3.30, 2 Pb 3.19-3.20, 1 Mg 3.42
Pb 0.9558 0.9041 0.6823  5 Mg 3.17-3.34, 3 Tl 3.37-3.53
Pb 0.5442 0.0959 0.1823  5 Mg 3.17-3.34, 3 Tl 3.37-3.53
Pb 0.4558 0.9041 0.8177  5 Mg 3.17-3.34, 3 Tl 3.37-3.53
Pb 0.0442 0.0959 0.3177  5 Mg 3.17-3.34, 3 Tl 3.37-3.53
Tl 0.5000 0.5000 0.0000  6 Mg 3.19-3.22, 2 Tl 3.29, 2 Pb 3.53
Tl 0.7981 0.2593 0.8414  5 Mg 3.08-3.30, 1 Tl 3.29, 2 Pb 3.37-3.38
Tl 0.2019 0.7407 0.1586  5 Mg 3.08-3.30, 1 Tl 3.29, 2 Pb 3.37-3.38
Tl 0.7019 0.7407 0.3414  5 Mg 3.08-3.30, 1 Tl 3.29, 2 Pb 3.37-3.38
Tl 0.2981 0.2593 0.6586  5 Mg 3.08-3.30, 1 Tl 3.29, 2 Pb 3.37-3.38
Tl 0.0000 0.5000 0.5000  6 Mg 3.19-3.22, 2 Tl 3.29, 2 Pb 3.53

Output
Relative energy among the computed polymorphs, kJ per mole of atoms: 2.1
Space-group type: P2_1/c


## Mg10Tl6Pb (PBE-GGA)

Data for a geometry-optimized Mg10Tl6Pb structure.

abc: 6.2621 8.8547 8.8547
angles: 120.00 90.00 90.00
Last column: nearest neighbours and their distance in Å.
Atoms (fractional coordinates):
Mg 0.2032 0.7176 0.0000  4 Tl 3.03-3.07, 1 Pb 3.12
Mg 0.5000 0.6667 0.3333  2 Mg 3.13, 6 Tl 3.13
Mg 0.0000 0.6667 0.3333  8 Mg 3.13-3.44, 6 Tl 3.25
Mg 0.2032 0.0000 0.7176  4 Tl 3.03-3.07, 1 Pb 3.12
Mg 0.5000 0.3333 0.6667  2 Mg 3.13, 6 Tl 3.13
Mg 0.7968 0.0000 0.2824  4 Tl 3.03-3.07, 1 Pb 3.12
Mg 0.7968 0.2824 0.0000  4 Tl 3.03-3.07, 1 Pb 3.12
Mg 0.0000 0.3333 0.6667  8 Mg 3.13-3.44, 6 Tl 3.25
Mg 0.2032 0.2824 0.2824  4 Tl 3.03-3.07, 1 Pb 3.12
Mg 0.7968 0.7176 0.7176  4 Tl 3.03-3.07, 1 Pb 3.12
Tl 0.7304 0.0000 0.6239  8 Mg 3.03-3.25
Tl 0.7304 0.3761 0.3761  8 Mg 3.03-3.25
Tl 0.2696 0.0000 0.3761  8 Mg 3.03-3.25
Tl 0.2696 0.3761 0.0000  8 Mg 3.03-3.25
Tl 0.7304 0.6239 0.0000  8 Mg 3.03-3.25
Tl 0.2696 0.6239 0.6239  8 Mg 3.03-3.25
Pb 0.5000 0.0000 0.0000  6 Mg 3.12

Output
Energy, eV/atom: -2.0016
Space-group type: P-31m


## MgTlPb3 (PBE-GGA)

Data for a geometry-optimized MgTlPb3 structure.

abc: 5.5832 5.5832 5.5832
angles: 90.00 90.00 90.00
Last column: nearest neighbours and their distance in Å.
Atoms (fractional coordinates):
Pb 0.5000 0.0000 0.0000  2 Mg 2.79
Pb 0.0000 0.5000 0.0000  2 Mg 2.79
Pb 0.0000 0.0000 0.5000  2 Mg 2.79
Mg 0.0000 0.0000 0.0000  6 Pb 2.79
Tl 0.5000 0.5000 0.5000  12 Pb 3.95

Output
Relative energy among the computed polymorphs, kJ per mole of atoms: 20.1
Space-group type: Pm-3m


| no. | total magnetization (μB per formula unit) | V (Å³/atom) | DOS at the Fermi energy (states/eV per cell) |
| --- | --- | --- | --- |
| 1 | 0.000 | 24.41 | 3.121 |
| 2 | 0.000 | 26.70 | 7.006 |
| 3 | 0.000 | 25.01 | 9.209 |
| 4 | 0.000 | 34.81 | 2.828 |